No. 1
Computed, not measured: a relaxed GePdCl3 crystal at the PBE level of DFT.

Unit cell a=4.882 b=4.882 c=4.882 alpha=90.00 beta=90.00 gamma=90.00
Fractional positions:
1 Ge 0.000 0.000 0.000
2 Pd 0.500 0.500 0.500
3 Cl 0.000 0.500 0.500
4 Cl 0.500 0.000 0.500
5 Cl 0.500 0.500 0.000

DFT total energy, eV per atom: -3.154
E_form (uncorrected), eV per atom: -0.08
DOS(E_F), states/eV/cell: 3.45
Space group: Pm-3m, No. 221
Magnetic moment, μB per formula unit: 0.55
Energy above the most stable polymorph in this dataset, meV per atom: 0.0

=====

No. 2
Computed, not measured: a relaxed LiCa3Zn crystal at the PBE level of DFT.

Unit cell a=5.781 b=5.781 c=5.781 alpha=90.00 beta=90.00 gamma=90.00
Fractional positions:
1 Li 0.000 0.000 0.000
2 Ca 0.000 0.500 0.500
3 Ca 0.500 0.000 0.500
4 Ca 0.500 0.500 0.000
5 Zn 0.500 0.500 0.500

DFT total energy, eV per atom: -1.767
DOS(E_F), states/eV/cell: 4.36
Space group: Pm-3m, No. 221
Magnetic moment, μB per formula unit: 0.00
Energy above the most stable polymorph in this dataset, meV per atom: 145.5

=====

Number 1 is which compound?
GePdCl3

=====

What is the DOS(E_F) in the first record?
3.45 states/eV/cell

=====

Which of these has the highest DFT total energy?
LiCa3Zn